Compound: NaUMn2O6
Source: Alexandria via LeMat-Bulk
Functional: GGA+U
Structure: optimized geometry

Cell: 5.379 5.525 5.842 Å, 62.55 65.97 62.19°
Fractional coordinates of all 10 atoms:
Na1 0.000 0.000 0.000
U1 0.515 0.512 0.439
Mn1 0.208 0.187 0.378
Mn2 0.738 0.726 0.819
O1 0.122 0.821 0.610
O2 0.316 0.537 0.189
O3 0.427 0.113 0.628
O4 0.567 0.895 0.160
O5 0.772 0.439 0.656
O6 0.916 0.335 0.181

Calculated total energy (eV/atom): -7.966
M_tot (μB/atom): 0.900
Calculated density (kg/m³): 5867
Space-group type: No. 1